Below is a relaxed structure of Pu2CdPd5, with properties calculated at the PBE-GGA level. Values from VASP.

```
&SYSTEM
  ibrav = 0, nat = 16, ntyp = 3
/
ATOMIC_SPECIES
Pu 244.00 Pu.upf
Cd 112.41 Cd.upf
Pd 106.42 Pd.upf
CELL_PARAMETERS angstrom
5.931 0.000 0.000
0.000 11.759 0.000
0.000 0.000 4.333
ATOMIC_POSITIONS angstrom
Pu 1.159 1.619 0.000
Pu 1.807 7.499 0.000
Pu 4.124 4.261 0.000
Pu 4.772 10.140 0.000
Cd 0.000 5.880 2.166
Cd 2.965 0.000 2.166
Pd 0.000 0.000 2.166
Pd 0.317 8.821 2.166
Pd 1.235 4.513 0.000
Pd 1.730 10.393 0.000
Pd 2.649 2.941 2.166
Pd 2.965 5.880 2.166
Pd 3.282 8.818 2.166
Pd 4.201 1.367 0.000
Pd 4.696 7.247 0.000
Pd 5.614 2.939 2.166
```

Properties
Distance to the lowest polymorph of the same formula (meV per atom): 0
Formation energy from the elements (eV/atom): -0.4755
Spin magnetization (μB per formula unit): 10.59
DOS(E_F) (states/eV per atom): 3.380